# AlCuTc2 | Alexandria via LeMat-Bulk | GGA-PBE | optimized geometry
data_AlCuTc2
_chemical_formula_sum 'Al1 Cu1 Tc2'
_symmetry_space_group_name_H-M 'P 4/m m m'
_symmetry_Int_Tables_number 123
_symmetry_space_group_name_Hall '-P 4 2'
_cell_length_a 2.992
_cell_length_b 2.992
_cell_length_c 6.141
_cell_angle_alpha 90.00
_cell_angle_beta 90.00
_cell_angle_gamma 90.00
loop_
_atom_site_label
_atom_site_type_symbol
_atom_site_fract_x
_atom_site_fract_y
_atom_site_fract_z
_atom_site_occupancy
Al1 Al 0.000 0.000 0.000 1
Cu1 Cu 0.000 0.000 0.500 1
Tc1 Tc 0.500 0.500 0.257 1
# DFT formation energy: 0.10 eV/atom
# N(E_F): 3.6 states/eV per cell

# BaSrSi2Sn | Alexandria via LeMat-Bulk | GGA-PBE | optimized geometry
data_BaSrSi2Sn
_chemical_formula_sum 'Ba1 Sr1 Si2 Sn1'
_symmetry_space_group_name_H-M 'P 4/m m m'
_symmetry_Int_Tables_number 123
_symmetry_space_group_name_Hall '-P 4 2'
_cell_length_a 5.623
_cell_length_b 5.623
_cell_length_c 6.336
_cell_angle_alpha 90.00
_cell_angle_beta 90.00
_cell_angle_gamma 90.00
loop_
_atom_site_label
_atom_site_type_symbol
_atom_site_fract_x
_atom_site_fract_y
_atom_site_fract_z
_atom_site_occupancy
Ba1 Ba 0.000 0.000 0.000 1
Sr1 Sr 0.000 0.000 0.500 1
Si1 Si 0.000 0.500 0.000 1
Sn1 Sn 0.500 0.500 0.500 1
# N(E_F): 4.5 states/eV per cell
# VASP energy: -12.5 eV/cell

# MgReGe2 | Alexandria via LeMat-Bulk | GGA-PBE | optimized geometry
data_MgReGe2
_chemical_formula_sum 'Mg1 Re1 Ge2'
_symmetry_space_group_name_H-M 'P 4/m m m'
_symmetry_Int_Tables_number 123
_symmetry_space_group_name_Hall '-P 4 2'
_cell_length_a 3.213
_cell_length_b 3.213
_cell_length_c 6.548
_cell_angle_alpha 90.00
_cell_angle_beta 90.00
_cell_angle_gamma 90.00
loop_
_atom_site_label
_atom_site_type_symbol
_atom_site_fract_x
_atom_site_fract_y
_atom_site_fract_z
_atom_site_occupancy
Mg1 Mg 0.000 0.000 0.000 1
Re1 Re 0.000 0.000 0.500 1
Ge1 Ge 0.500 0.500 0.288 1
# DFT formation energy: 0.08 eV/atom
# N(E_F): 1.3 states/eV per cell